Entry 1:
Here is ZrNi12 after structural relaxation from Alexandria via LeMat-Bulk. Energies are from PBE.

Values from the calculation:
E_tot (eV per cell): -79.22
Energy of formation (eV/atom): -0.100

a = 4.6731 Å, b = 6.1944 Å, c = 6.1944 Å
α = 81.82°, β = 67.84°, γ = 67.84°
Atoms (fractional coordinates):
Ni (0.7165, 0.7835, 0.7835)
Zr (0.0000, 0.0000, 0.0000)
Ni (0.0000, 0.0000, 0.5000)
Ni (0.5000, 0.0000, 0.5000)
Ni (0.5000, 0.5000, 0.0000)
Ni (0.3514, 0.6486, 0.6486)
Ni (0.5000, 0.7835, 0.2165)
Ni (0.2835, 0.2165, 0.2165)
Ni (0.0000, 0.3514, 0.6486)
Ni (0.6486, 0.3514, 0.3514)
Ni (0.0000, 0.6486, 0.3514)
Ni (0.0000, 0.5000, 0.0000)
Ni (0.5000, 0.2165, 0.7835)

Entry 2:
Here is LiNpSi2O8 after structural relaxation from Alexandria via LeMat-Bulk. Energies are from PBE.

Values from the calculation:
E_tot (eV per cell): -93.63

a = 5.6387 Å, b = 5.6387 Å, c = 5.6387 Å
α = 106.84°, β = 106.84°, γ = 114.88°
Atoms (fractional coordinates):
O (0.3362, 0.5304, 0.1942)
Li (0.0000, 0.0000, 0.0000)
Si (0.7500, 0.2500, 0.5000)
O (0.8579, 0.6638, 0.1942)
O (0.9319, 0.2504, 0.3185)
O (0.9319, 0.6133, 0.6815)
Si (0.5000, 0.5000, 0.0000)
O (0.3362, 0.1421, 0.8058)
O (0.3867, 0.0681, 0.3185)
O (0.7496, 0.0681, 0.6815)
O (0.4696, 0.6638, 0.8058)
Np (0.2500, 0.7500, 0.5000)

Entry 3:
Here is Fe2Hg2Pb after structural relaxation from Alexandria via LeMat-Bulk. Energies are from PBE.

Values from the calculation:
E_tot (eV per cell): -19.25
Polymorph energy (0 for the lowest one) (kJ/mol of formula units): 0
Energy of formation (eV/atom): 0.398

a = 3.4100 Å, b = 3.4100 Å, c = 9.4882 Å
α = 79.65°, β = 79.65°, γ = 90.00°
Atoms (fractional coordinates):
Fe (0.2500, 0.7500, 0.5000)
Pb (0.0000, 0.0000, 0.0000)
Fe (0.7500, 0.2500, 0.5000)
Hg (0.6275, 0.6275, 0.7450)
Hg (0.3725, 0.3725, 0.2550)

Entry 4:
Here is FeCuHg4 after structural relaxation from Alexandria via LeMat-Bulk. Energies are from PBE.

Values from the calculation:
E_tot (eV per cell): -9.07
Energy of formation (eV/atom): 0.783

a = 5.7376 Å, b = 5.7376 Å, c = 5.7376 Å
α = 60.00°, β = 60.00°, γ = 60.00°
Atoms (fractional coordinates):
Cu (0.7500, 0.7500, 0.7500)
Hg (0.3749, 0.3749, 0.3749)
Fe (0.0000, 0.0000, 0.0000)
Hg (0.3749, 0.8752, 0.3749)
Hg (0.8752, 0.3749, 0.3749)
Hg (0.3749, 0.3749, 0.8752)

Entry 5:
Here is Pm5Sm3Ho3 after structural relaxation from Alexandria via LeMat-Bulk. Energies are from PBE.

Values from the calculation:
E_tot (eV per cell): -43.26
Polymorph energy (0 for the lowest one) (kJ/mol of formula units): 467
Energy of formation (eV/atom): 0.763

a = 5.5170 Å, b = 9.7599 Å, c = 9.7599 Å
α = 120.00°, β = 90.00°, γ = 90.00°
Atoms (fractional coordinates):
Pm (0.5000, 0.2682, 0.2682)
Pm (0.5000, 0.6667, 0.3333)
Pm (0.5000, 0.7318, 0.0000)
Ho (0.5000, 0.6324, 0.6324)
Sm (0.0000, 0.5690, 0.0000)
Ho (0.5000, 0.3676, 0.0000)
Pm (0.5000, 0.0000, 0.7318)
Ho (0.5000, 0.0000, 0.3676)
Sm (0.0000, 0.4310, 0.4310)
Pm (0.5000, 0.3333, 0.6667)
Sm (0.0000, 0.0000, 0.5690)

Entry 6:
Here is Se5Br4 after structural relaxation from Alexandria via LeMat-Bulk. Energies are from PBE.

Values from the calculation:
E_tot (eV per cell): -23.91

a = 10.0215 Å, b = 10.0215 Å, c = 10.0215 Å
α = 91.91°, β = 91.91°, γ = 158.96°
Atoms (fractional coordinates):
Br (0.0000, 0.1850, 0.1850)
Br (0.1850, 0.0000, 0.1850)
Se (0.7103, 0.2897, 0.0000)
Br (0.0000, 0.8150, 0.8150)
Br (0.8150, 0.0000, 0.8150)
Se (0.2897, 0.7103, 0.0000)
Se (0.0000, 0.0000, 0.0000)
Se (0.7103, 0.7103, 0.4206)
Se (0.2897, 0.2897, 0.5794)

Entry 7:
Here is NbGeSb after structural relaxation from Alexandria via LeMat-Bulk. Energies are from PBE.

Values from the calculation:
E_tot (eV per cell): -76.47

a = 7.5694 Å, b = 3.5771 Å, c = 9.7224 Å
α = 90.00°, β = 107.43°, γ = 90.00°
Atoms (fractional coordinates):
Sb (0.1427, 0.5000, 0.1201)
Ge (0.9447, 0.5000, 0.3533)
Ge (0.4668, 0.5000, 0.5283)
Nb (0.2333, 0.0000, 0.3585)
Nb (0.8378, 0.5000, 0.6257)
Ge (0.4668, 0.0000, 0.0283)
Sb (0.1427, 0.0000, 0.6201)
Nb (0.8378, 0.0000, 0.1257)
Ge (0.9447, 0.0000, 0.8533)
Nb (0.2333, 0.5000, 0.8585)
Sb (0.6407, 0.5000, 0.8816)
Sb (0.6407, 0.0000, 0.3816)